Record 1
KGaSnS4 | GGA-PBE | optimized geometry

Its energy relative to the elements, uncorrected is -714.7 meV per atom. The magnetic moment comes out at 0.00 μB per cell. The theoretical density is 2.866 g/cm3. The calculation puts the electronic total energy at -118.56 eV per cell.

The space group is Cmcm (No. 63) and the conventional cell measures 8.6549, 12.5899 and 7.5673 Å, with angles of 90.00, 90.00 and 90.00 degrees. The asymmetric unit holds K at (0.0000, 0.0000, 0.0000), Ga at (0.0000, 0.3708, 0.2500), Sn at (0.0000, 0.3732, 0.7500), S at (0.0000, 0.2586, 0.0083) and S at (0.2015, 0.4920, 0.2500).

***

Record 2
LiCd2CuW | GGA-PBE | optimized geometry

For the density of states at the Fermi level, the calculation gives 0.610 states/eV per atom. The magnetic moment comes out at 2.11 μB per cell. The theoretical density is 8.305 g/cm3. The value obtained for the formation energy from the elements is 25.70 kcal/mol of atoms. The calculation puts the electronic total energy at -15.22 eV per cell.

The space group is P4/mmm (No. 123) and the conventional cell measures 4.8494, 4.8494 and 4.0741 Å, with angles of 90.00, 90.00 and 90.00 degrees. The asymmetric unit holds Li at (0.0000, 0.0000, 0.0000), Cd at (0.0000, 0.5000, 0.5000), Cu at (0.0000, 0.0000, 0.5000) and W at (0.5000, 0.5000, 0.0000).

***

Record 3
H2Ir4S | GGA-PBE | optimized geometry

For the density of states at the Fermi level, the calculation gives 1.090 states/eV per atom. The magnetic moment comes out at 0.00 μB per cell. The theoretical density is 15.131 g/cm3. The calculation puts the electronic total energy at -79.52 eV per cell.

The space group is I4/mmm (No. 139) and the conventional cell measures 4.4298, 4.4298 and 8.9813 Å, with angles of 90.00, 90.00 and 90.00 degrees. The asymmetric unit holds H at (0.0000, 0.0000, 0.0645), Ir at (0.0000, 0.0000, 0.2412), Ir at (0.0000, 0.5000, 0.0000) and S at (0.0000, 0.0000, 0.5000).

***

Record 4
Cs2GaBr4 | GGA-PBE | optimized geometry

For the density of states at the Fermi level, the calculation gives 0.415 states/eV per atom. Its energy relative to the elements, uncorrected is -1230.7 meV per atom. The magnetic moment comes out at 1.99 μB per cell. Its energy above the most stable polymorph in this dataset is 93 meV/atom. The theoretical density is 2.452 g/cm3. The calculation puts the electronic total energy at -40.08 eV per cell.

The space group is I-42m (No. 121) and the conventional cell measures 8.6592, 8.6592 and 11.8359 Å, with angles of 90.00, 90.00 and 90.00 degrees. The asymmetric unit holds Cs at (0.0000, 0.5000, 0.2500), Ga at (0.0000, 0.0000, 0.0000) and Br at (0.1867, 0.1867, 0.8915).